First-principles (PBE) data for a relaxed structure of Bi2AuBr2, as listed in Alexandria via LeMat-Bulk.

Values from the calculation:
total moment	0.00	μB per cell
formation energy without anion corrections	-0.255	eV per atom

Cell: 7.5527 7.5527 5.7198 Å, 90.00 90.00 90.00°
Last column: nearest neighbours and their distance in Å.
Element x y z (fractional)
Bi  0.1510  0.3490  0.0000  2 Au 2.87, 2 Br 2.89
Bi  0.3490  0.8490  0.0000  2 Au 2.87, 2 Br 2.89
Bi  0.6510  0.1510  0.0000  2 Au 2.87, 2 Br 2.89
Bi  0.8490  0.6510  0.0000  2 Au 2.87, 2 Br 2.89
Au  0.0000  0.0000  0.0000  4 Bi 2.87
Au  0.5000  0.5000  0.0000  4 Bi 2.87
Br  0.1891  0.3109  0.5000  2 Bi 2.89
Br  0.3109  0.8109  0.5000  2 Bi 2.89
Br  0.6891  0.1891  0.5000  2 Bi 2.89
Br  0.8109  0.6891  0.5000  2 Bi 2.89

First-principles (PBE) data for a relaxed structure of BiAuBr, as listed in Alexandria via LeMat-Bulk.

Values from the calculation:
total moment	0.00	μB per cell
formation energy without anion corrections	-0.142	eV per atom
offset from the most stable computed form	105	meV per atom

Cell: 6.6823 7.2792 8.0401 Å, 91.33 109.22 94.64°
Last column: nearest neighbours and their distance in Å.
Element x y z (fractional)
Bi  0.0000  0.0000  0.0000  3 Br 2.82-3.09, 3 Au 2.91-3.07
Bi  0.0303  0.4975  0.8288  4 Au 2.85-3.14, 3 Br 2.88-3.07
Bi  0.3153  0.0325  0.4088  3 Au 2.81-2.92
Bi  0.6134  0.4446  0.2885  4 Au 2.90-3.04
Au  0.1564  0.3458  0.2087  2 Au 2.87-2.88, 4 Bi 2.89-3.14, 1 Br 2.92
Au  0.2860  0.7222  0.1622  1 Au 2.88, 4 Bi 2.92-3.04, 1 Br 3.06
Au  0.6902  0.2453  0.6115  3 Bi 2.81-2.92, 1 Au 2.98
Au  0.7190  0.3168  0.9860  1 Br 2.82, 2 Au 2.87-2.98, 3 Bi 2.90-3.07
Br  0.1173  0.5804  0.4941  1 Au 2.92, 1 Bi 3.00
Br  0.2930  0.1761  0.8084  1 Au 2.82, 2 Bi 3.07-3.09
Br  0.6989  0.7407  0.7065  2 Bi 2.88-3.04
Br  0.7342  0.8858  0.1948  1 Bi 2.82, 1 Au 3.06

First-principles (PBE) data for a relaxed structure of Bi2Au2Br, as listed in Alexandria via LeMat-Bulk.

Values from the calculation:
total moment	0.00	μB per cell
formation energy without anion corrections	-0.058	eV per atom
offset from the most stable computed form	0	meV per atom

Cell: 8.5167 8.5167 8.5167 Å, 152.22 152.22 39.70°
Last column: nearest neighbours and their distance in Å.
Element x y z (fractional)
Bi  0.1166  0.1166  0.0000  4 Au 2.96
Bi  0.8834  0.8834  0.0000  4 Au 2.96
Au  0.2500  0.7500  0.5000  4 Au 2.89, 4 Bi 2.96
Au  0.7500  0.2500  0.5000  4 Au 2.89, 4 Bi 2.96
Br  0.5000  0.5000  0.0000  8 Bi 3.44

First-principles (PBE) data for a relaxed structure of Bi4Au2Br3, as listed in Alexandria via LeMat-Bulk.

Values from the calculation:
total moment	0.00	μB per cell
formation energy without anion corrections	-0.103	eV per atom

Cell: 10.4087 10.4087 6.0752 Å, 106.94 106.94 77.89°
Last column: nearest neighbours and their distance in Å.
Element x y z (fractional)
Bi  0.0537  0.7326  0.6412  2 Au 2.82-2.89, 2 Br 3.07
Bi  0.2674  0.9463  0.8588  2 Au 2.82-2.89, 2 Br 3.07
Bi  0.2687  0.3843  0.0769  1 Au 2.79, 1 Br 2.96
Bi  0.3843  0.2687  0.5769  1 Au 2.79, 1 Br 2.96
Bi  0.6157  0.7313  0.4231  1 Au 2.79, 1 Br 2.96
Bi  0.7313  0.6157  0.9231  1 Au 2.79, 1 Br 2.96
Bi  0.7326  0.0537  0.1412  2 Au 2.82-2.89, 2 Br 3.07
Bi  0.9463  0.2674  0.3588  2 Au 2.82-2.89, 2 Br 3.07
Au  0.1460  0.4524  0.5487  3 Bi 2.79-2.89, 1 Au 2.93
Au  0.4524  0.1460  0.0487  3 Bi 2.79-2.89, 1 Au 2.93
Au  0.5476  0.8540  0.9513  3 Bi 2.79-2.89, 1 Au 2.93
Au  0.8540  0.5476  0.4513  3 Bi 2.79-2.89, 1 Au 2.93
Br  0.0072  0.7370  0.1206  3 Bi 3.07-3.15
Br  0.2630  0.9928  0.3794  3 Bi 3.07-3.15
Br  0.4497  0.5503  0.7500  2 Bi 2.96, 2 Au 3.30, 2 Br 3.31
Br  0.5503  0.4497  0.2500  2 Bi 2.96, 2 Au 3.30, 2 Br 3.31
Br  0.7370  0.0072  0.6206  3 Bi 3.07-3.15
Br  0.9928  0.2630  0.8794  3 Bi 3.07-3.15

First-principles (PBE) data for a relaxed structure of Bi2Au2Br, as listed in Alexandria via LeMat-Bulk.

Values from the calculation:
total moment	0.00	μB per cell
formation energy without anion corrections	0.038	eV per atom
offset from the most stable computed form	96	meV per atom

Cell: 8.5479 8.5479 3.5007 Å, 90.00 90.00 90.00°
Last column: nearest neighbours and their distance in Å.
Element x y z (fractional)
Bi  0.1756  0.3244  0.0000  6 Au 3.01-3.12
Bi  0.3244  0.8244  0.0000  6 Au 3.01-3.12
Bi  0.6756  0.1756  0.0000  6 Au 3.01-3.12
Bi  0.8244  0.6756  0.0000  6 Au 3.01-3.12
Au  0.1217  0.6217  0.5000  1 Au 2.94, 6 Bi 3.01-3.12
Au  0.3783  0.1217  0.5000  1 Au 2.94, 6 Bi 3.01-3.12
Au  0.6217  0.8783  0.5000  1 Au 2.94, 6 Bi 3.01-3.12
Au  0.8783  0.3783  0.5000  1 Au 2.94, 6 Bi 3.01-3.12
Br  0.0000  0.0000  0.5000  4 Au 3.40, 2 Br 3.50, 8 Bi 3.61
Br  0.5000  0.5000  0.5000  4 Au 3.40, 2 Br 3.50, 8 Bi 3.61

First-principles (PBE) data for a relaxed structure of Bi2AuBr, as listed in Alexandria via LeMat-Bulk.

Values from the calculation:
total moment	0.00	μB per cell
formation energy without anion corrections	-0.237	eV per atom
offset from the most stable computed form	0	meV per atom

Cell: 7.5288 7.5288 7.5288 Å, 34.95 34.95 34.95°
Last column: nearest neighbours and their distance in Å.
Element x y z (fractional)
Bi  0.2245  0.2245  0.2245  3 Au 2.88
Bi  0.7755  0.7755  0.7755  3 Au 2.88
Au  0.5000  0.5000  0.5000  6 Bi 2.88
Br  0.0000  0.0000  0.0000  6 Bi 3.48